(1)
Density functional theory data (PBEsol) for a geometry-optimized Mg2AlTc structure.

Unit cell a=5.264 b=5.264 c=5.264 alpha=139.03 beta=137.21 gamma=60.73
Fractional positions:
Mg  0.247  0.247  0.000
Mg  0.753  0.753  0.000
Al  0.500  0.000  0.500
Tc  0.000  0.500  0.500

Values from the calculation:
As for the crystal system: orthorhombic. Its space group is No. 71. The formation energy is 46 meV/atom.

=====

(2)
Density functional theory data (PBEsol) for a geometry-optimized LaZr2Te structure.

Unit cell a=3.343 b=3.343 c=9.582 alpha=90.00 beta=90.00 gamma=110.75
Fractional positions:
La  0.000  0.000  0.000
Zr  0.500  0.500  0.279
Zr  0.500  0.500  0.721
Te  0.000  0.000  0.500

Values from the calculation:
As for the crystal system: orthorhombic. Its space group is No. 65. The calculation puts the formation energy from raw total energies at -12 kJ/mol of atoms.

=====

(3)
Density functional theory data (PBEsol) for a geometry-optimized BeAuO3 structure.

Unit cell a=3.551 b=3.551 c=3.551 alpha=90.00 beta=90.00 gamma=90.00
Fractional positions:
Be  0.000  0.000  0.000
Au  0.500  0.500  0.500
O  0.000  0.000  0.500
O  0.000  0.500  0.000
O  0.500  0.000  0.000

Values from the calculation:
As for the crystal system: cubic. Its space group is No. 221. The calculation puts the formation energy from raw total energies at -27 kJ/mol of atoms.

=====

(4)
Density functional theory data (PBEsol) for a geometry-optimized AlZnPb2 structure.

Unit cell a=8.982 b=8.982 c=8.982 alpha=22.85 beta=22.85 gamma=22.85
Fractional positions:
Al  0.000  0.000  0.000
Zn  0.500  0.500  0.500
Pb  0.248  0.248  0.248
Pb  0.752  0.752  0.752

Values from the calculation:
As for the crystal system: trigonal. Its space group is No. 166. The formation energy is 247 meV/atom.